A geometry-optimized RbMgIn2Ir structure. Source: the Alexandria database, functional PBE-GGA.

Cell: 5.2399 5.2399 5.2440 Å, 90.00 90.00 90.00°
Closest atoms and distances in Å follow each position.
Positions (direct):
Rb (0.0000, 0.0000, 0.0000)  4 Mg 3.71, 8 In 3.71
Mg (0.5000, 0.5000, 0.0000)  2 Ir 2.62
In (0.0000, 0.5000, 0.5000)  2 Ir 2.62
In (0.5000, 0.0000, 0.5000)  2 Ir 2.62
Ir (0.5000, 0.5000, 0.5000)  4 In 2.62, 2 Mg 2.62

Calculated values
Crystal system: tetragonal
Energy of formation in eV per atom: -0.20